4
Lattice="5.3214 0.0000 0.0000 2.6607 4.6085 0.0000 2.6607 1.5362 4.3449" Properties=species:S:1:pos:R:3 comment="HoErTe2 PBE relaxed" spacegroup="No. 225" e_form_raw_ev_per_atom=-1.113 pbc="T T T"
Te 2.6607 1.5362 1.0862
Te 7.9821 4.6085 3.2587
Ho 0.0000 0.0000 0.0000
Er 5.3214 3.0723 2.1724